Entry 1:
Computed, not measured: a relaxed Ti2SO2 crystal at the GGA-PBE level of DFT.

Output
* density of states at the Fermi level: 4.40 states/eV/cell

Unit cell a=4.177 b=3.205 c=8.990 alpha=90.00 beta=101.25 gamma=90.00
Space group P2_1/m (No. 11)
Inequivalent atoms, fractional coordinates:
Ti1 0.112 0.250 0.211 x2
Ti2 0.276 0.250 0.573 x2
S1 0.265 0.750 0.044 x2
O1 0.212 0.750 0.400 x2
O2 0.339 0.750 0.712 x2



Entry 2:
Computed, not measured: a relaxed Cs2MnSnI6 crystal at the GGA-PBE level of DFT.

Unit cell a=8.518 b=8.541 c=14.823 alpha=90.00 beta=125.00 gamma=90.00
Space group P2_1/c (No. 14)
Inequivalent atoms, fractional coordinates:
Cs1 0.242 0.031 0.249 x4
Mn1 0.000 0.000 0.500 x2
Sn1 0.500 0.000 0.000 x2
I1 0.187 0.230 0.980 x4
I2 0.248 0.708 0.979 x4
I3 0.280 0.501 0.239 x4



Raw total energy for the records above, in order: -80.010 -66.342 eV for the cell shown